# 1
## ZrBeFe2 (GGA-PBE)

Data for a relaxed structure of ZrBeFe2.

Results
**Crystal system**: monoclinic
**DFT total energy**: -7.076 eV per atom
**ΔE_f**: 0.22 eV per atom
**Magnetization**: 0.729 μB per atom

POSCAR file:
```
ZrBeFe2
1.0
2.609 -4.122 0.000
2.609 4.122 0.000
-1.085 0.000 2.490
Zr Be Fe
1 1 2
direct
0.000 0.000 0.000
0.500 0.500 0.000
0.000 0.500 0.500
0.500 0.000 0.500
```



# 2
## Zr2BeFe (GGA-PBE)

Data for a relaxed structure of Zr2BeFe.

Results
**Crystal system**: monoclinic
**DFT total energy**: -7.458 eV per atom
**ΔE_f**: -0.14 eV per atom
**Magnetization**: 0.000 μB per atom

POSCAR file:
```
Zr2BeFe
1.0
5.481 0.000 0.000
0.000 3.410 0.000
-2.531 0.000 7.022
Zr Be Fe
4 2 2
direct
0.212 0.250 0.420
0.220 0.250 0.939
0.780 0.750 0.061
0.788 0.750 0.580
0.370 0.750 0.716
0.630 0.250 0.284
0.337 0.750 0.214
0.663 0.250 0.786
```



# 3
## Zr2Be16Fe (GGA-PBE)

Data for a relaxed structure of Zr2Be16Fe.

Results
**Crystal system**: trigonal
**DFT total energy**: -4.727 eV per atom
**ΔE_f**: -0.24 eV per atom
**Magnetization**: 0.000 μB per atom

POSCAR file:
```
Zr2Be16Fe
1.0
3.789 2.188 3.660
-3.789 2.188 3.660
0.000 -4.375 3.660
Zr Be Fe
2 16 1
direct
0.000 0.000 0.000
0.321 0.321 0.321
0.005 0.005 0.510
0.005 0.510 0.005
0.158 0.667 0.667
0.320 0.320 0.822
0.320 0.822 0.320
0.386 0.666 0.946
0.386 0.946 0.666
0.510 0.005 0.005
0.564 0.564 0.564
0.666 0.386 0.946
0.666 0.946 0.386
0.667 0.158 0.667
0.667 0.667 0.158
0.822 0.320 0.320
0.946 0.386 0.666
0.946 0.666 0.386
0.761 0.761 0.761
```



# 4
## ZrBe6Fe6 (GGA-PBE)

Data for a relaxed structure of ZrBe6Fe6.

Results
**Crystal system**: orthorhombic
**DFT total energy**: -6.495 eV per atom
**ΔE_f**: -0.21 eV per atom
**Magnetization**: 0.717 μB per atom

POSCAR file:
```
ZrBe6Fe6
1.0
-2.200 3.858 3.921
2.200 -3.858 3.921
2.200 3.858 -3.921
Zr Be Fe
1 6 6
direct
0.000 0.000 0.000
0.000 0.000 0.500
0.000 0.500 0.000
0.229 0.729 0.500
0.500 0.000 0.000
0.500 0.500 0.500
0.771 0.271 0.500
0.208 0.500 0.708
0.354 0.000 0.354
0.356 0.356 0.000
0.644 0.644 0.000
0.646 0.000 0.646
0.792 0.500 0.292
```



# 5
## Zr2BeFe (GGA-PBE)

Data for a relaxed structure of Zr2BeFe.

Results
**Crystal system**: trigonal
**DFT total energy**: -7.116 eV per atom
**ΔE_f**: 0.21 eV per atom
**Magnetization**: 0.241 μB per atom

POSCAR file:
```
Zr2BeFe
1.0
1.618 0.934 7.557
-1.618 0.934 7.557
0.000 -1.868 7.557
Zr Be Fe
2 1 1
direct
0.250 0.250 0.250
0.750 0.750 0.750
0.000 0.000 0.000
0.500 0.500 0.500
```



# 6
## ZrBe10Fe (GGA-PBE)

Data for a relaxed structure of ZrBe10Fe.

Results
**Crystal system**: orthorhombic
**DFT total energy**: -4.641 eV per atom
**ΔE_f**: -0.12 eV per atom
**Magnetization**: 0.184 μB per atom

POSCAR file:
```
ZrBe10Fe
1.0
3.480 0.000 0.000
0.000 4.324 0.000
0.000 0.000 7.607
Zr Be Fe
1 10 1
direct
0.000 0.000 0.000
0.000 0.000 0.349
0.000 0.000 0.651
0.000 0.500 0.194
0.000 0.500 0.806
0.500 0.000 0.500
0.500 0.249 0.260
0.500 0.249 0.740
0.500 0.500 0.000
0.500 0.751 0.260
0.500 0.751 0.740
0.000 0.500 0.500
```